! Zn3AuO, optimized geometry, DFT GGA-PBE; values from VASP
&SYSTEM
  ibrav = 0, nat = 5, ntyp = 3
/
ATOMIC_SPECIES
Zn 65.41 Zn.upf
O 16.00 O.upf
Au 196.97 Au.upf
CELL_PARAMETERS angstrom
-2.691 -0.365 3.149
1.149 -3.962 0.523
2.954 1.209 2.665
ATOMIC_POSITIONS crystal
Zn 0.500 0.000 0.500
Zn 0.500 0.500 0.000
Zn 0.000 0.500 0.500
O 0.500 0.500 0.500
Au 0.000 0.000 0.000
! E = -13.5 eV per cell
! Crystal system = cubic

=====

! Zn2Au2O5, optimized geometry, DFT GGA-PBE; values from VASP
&SYSTEM
  ibrav = 0, nat = 9, ntyp = 3
/
ATOMIC_SPECIES
O 16.00 O.upf
Au 196.97 Au.upf
Zn 65.41 Zn.upf
CELL_PARAMETERS angstrom
8.208 0.000 0.000
0.000 3.644 0.000
0.000 0.000 3.644
ATOMIC_POSITIONS crystal
O 0.500 0.500 0.500
O 0.844 0.500 0.000
O 0.156 0.500 0.000
O 0.156 0.000 0.500
O 0.844 0.000 0.500
Au 0.500 0.000 0.000
Au 0.000 0.000 0.000
Zn 0.741 0.500 0.500
Zn 0.259 0.500 0.500
! Polymorph energy (0 for the lowest one) = 0.000 eV/atom
! Crystal system = tetragonal

=====

! Zn2AuO4, optimized geometry, DFT GGA-PBE; values from VASP
&SYSTEM
  ibrav = 0, nat = 14, ntyp = 3
/
ATOMIC_SPECIES
O 16.00 O.upf
Zn 65.41 Zn.upf
Au 196.97 Au.upf
CELL_PARAMETERS angstrom
4.359 -4.360 0.000
-4.359 0.000 -4.360
4.359 4.360 0.000
ATOMIC_POSITIONS crystal
O 0.612 0.223 0.835
O 0.612 0.223 0.388
O 0.612 0.777 0.388
O 0.165 0.777 0.388
O 0.585 0.723 0.862
O 0.138 0.723 0.862
O 0.138 0.277 0.415
O 0.138 0.277 0.862
Zn 0.375 0.750 0.125
Zn 0.875 0.250 0.625
Zn 0.375 0.750 0.625
Zn 0.375 0.250 0.625
Au 0.750 0.500 0.250
Au 0.000 0.000 0.000
! E = -58.1 eV per cell
! Crystal system = cubic

=====

! Zn2Au2O5, optimized geometry, DFT GGA-PBE; values from VASP
&SYSTEM
  ibrav = 0, nat = 9, ntyp = 3
/
ATOMIC_SPECIES
O 16.00 O.upf
Au 196.97 Au.upf
Zn 65.41 Zn.upf
CELL_PARAMETERS angstrom
6.756 0.000 0.000
0.000 4.069 0.000
0.000 0.000 4.069
ATOMIC_POSITIONS crystal
O 0.211 0.000 0.500
O 0.789 0.000 0.500
O 0.789 0.500 0.000
O 0.500 0.500 0.500
O 0.211 0.500 0.000
Au 0.806 0.500 0.500
Au 0.194 0.500 0.500
Zn 0.000 0.000 0.000
Zn 0.500 0.000 0.000
! Polymorph energy (0 for the lowest one) = 0.310 eV/atom
! Crystal system = tetragonal

=====

! Zr2AuO, optimized geometry, DFT GGA-PBE; values from VASP
&SYSTEM
  ibrav = 0, nat = 8, ntyp = 3
/
ATOMIC_SPECIES
Zr 91.22 Zr.upf
O 16.00 O.upf
Au 196.97 Au.upf
CELL_PARAMETERS angstrom
3.860 5.609 5.625
-6.500 -4.445 -4.000
0.403 -3.323 3.037
ATOMIC_POSITIONS crystal
Zr 0.210 0.790 0.750
Zr 0.398 0.602 0.750
Zr 0.790 0.210 0.250
Zr 0.602 0.398 0.250
O 0.197 0.803 0.250
O 0.803 0.197 0.750
Au 0.047 0.953 0.750
Au 0.953 0.047 0.250
! E = -62.5 eV per cell
! Crystal system = orthorhombic

=====

! Zr2AuO4, optimized geometry, DFT GGA-PBE; values from VASP
&SYSTEM
  ibrav = 0, nat = 14, ntyp = 3
/
ATOMIC_SPECIES
Zr 91.22 Zr.upf
O 16.00 O.upf
Au 196.97 Au.upf
CELL_PARAMETERS angstrom
-6.212 0.626 2.196
1.279 -3.788 -5.274
1.934 -1.951 6.022
ATOMIC_POSITIONS crystal
Zr 0.875 0.250 0.625
Zr 0.375 0.750 0.125
Zr 0.375 0.250 0.625
Zr 0.375 0.750 0.625
O 0.604 0.793 0.397
O 0.147 0.293 0.854
O 0.561 0.707 0.854
O 0.189 0.793 0.396
O 0.146 0.293 0.439
O 0.603 0.207 0.396
O 0.146 0.707 0.853
O 0.604 0.207 0.811
Au 0.000 0.000 0.000
Au 0.750 0.500 0.250
! E = -111.4 eV per cell
! Crystal system = cubic

=====

! OsAu2, optimized geometry, DFT GGA-PBE; values from VASP
&SYSTEM
  ibrav = 0, nat = 6, ntyp = 2
/
ATOMIC_SPECIES
Au 196.97 Au.upf
Os 190.23 Os.upf
CELL_PARAMETERS angstrom
0.000 3.751 3.751
3.751 0.000 3.751
3.751 3.751 0.000
ATOMIC_POSITIONS crystal
Au 0.125 0.625 0.625
Au 0.625 0.625 0.625
Au 0.625 0.625 0.125
Au 0.625 0.125 0.625
Os 0.000 0.000 0.000
Os 0.250 0.250 0.250
! ΔH_f (0 K) = 1.20 eV/atom
! Polymorph energy (0 for the lowest one) = 0.589 eV/atom
! Crystal system = cubic

=====

! Os2Au, optimized geometry, DFT GGA-PBE; values from VASP
&SYSTEM
  ibrav = 0, nat = 6, ntyp = 2
/
ATOMIC_SPECIES
Au 196.97 Au.upf
Os 190.23 Os.upf
CELL_PARAMETERS angstrom
0.000 3.669 3.669
3.669 0.000 3.669
3.669 3.669 0.000
ATOMIC_POSITIONS crystal
Au 0.250 0.250 0.250
Au 0.000 0.000 0.000
Os 0.625 0.625 0.125
Os 0.625 0.125 0.625
Os 0.125 0.625 0.625
Os 0.625 0.625 0.625
! ΔH_f (0 K) = 0.99 eV/atom
! Crystal system = cubic

=====

! P5Os3Au, optimized geometry, DFT GGA-PBE; values from VASP
&SYSTEM
  ibrav = 0, nat = 9, ntyp = 3
/
ATOMIC_SPECIES
Au 196.97 Au.upf
Os 190.23 Os.upf
P 30.97 P.upf
CELL_PARAMETERS angstrom
5.817 0.000 0.000
-2.908 5.037 0.000
0.000 0.000 5.343
ATOMIC_POSITIONS crystal
Au 0.000 0.000 0.000
Os 0.000 0.500 0.500
Os 0.500 0.000 0.500
Os 0.500 0.500 0.500
P 0.333 0.667 0.799
P 0.667 0.333 0.799
P 0.000 0.000 0.500
P 0.667 0.333 0.201
P 0.333 0.667 0.201
! E = -60.8 eV per cell
! Crystal system = hexagonal

=====

! Os3Pb5Au, optimized geometry, DFT GGA-PBE; values from VASP
&SYSTEM
  ibrav = 0, nat = 9, ntyp = 3
/
ATOMIC_SPECIES
Pb 207.20 Pb.upf
Os 190.23 Os.upf
Au 196.97 Au.upf
CELL_PARAMETERS angstrom
-0.085 1.524 5.292
2.737 -4.532 -1.517
6.885 4.561 -1.203
ATOMIC_POSITIONS crystal
Pb 0.000 0.000 0.500
Pb 0.333 0.667 0.200
Pb 0.333 0.667 0.800
Pb 0.667 0.333 0.800
Pb 0.667 0.333 0.200
Os 0.500 0.500 0.500
Os 0.000 0.500 0.500
Os 0.500 0.000 0.500
Au 0.000 0.000 0.000
! E = -50.0 eV per cell
! Crystal system = hexagonal

=====

! Os2Pd2Au, optimized geometry, DFT GGA-PBE; values from VASP
&SYSTEM
  ibrav = 0, nat = 10, ntyp = 3
/
ATOMIC_SPECIES
Pd 106.42 Pd.upf
Os 190.23 Os.upf
Au 196.97 Au.upf
CELL_PARAMETERS angstrom
2.135 -6.686 0.000
2.135 6.686 0.000
-0.159 0.000 5.569
ATOMIC_POSITIONS crystal
Pd 0.102 0.897 0.362
Pd 0.879 0.122 0.861
Pd 0.897 0.102 0.362
Pd 0.122 0.879 0.861
Os 0.304 0.710 0.584
Os 0.290 0.696 0.140
Os 0.696 0.290 0.140
Os 0.710 0.304 0.584
Au 0.504 0.504 0.617
Au 0.496 0.496 0.104
! ΔH_f (0 K) = 0.33 eV/atom
! Crystal system = monoclinic

=====

! PmOsAu, optimized geometry, DFT GGA-PBE; values from VASP
&SYSTEM
  ibrav = 0, nat = 3, ntyp = 3
/
ATOMIC_SPECIES
Os 190.23 Os.upf
Au 196.97 Au.upf
Pm 145.00 Pm.upf
CELL_PARAMETERS angstrom
3.149 -2.330 2.602
-0.815 -0.742 4.572
-0.971 -4.335 1.542
ATOMIC_POSITIONS crystal
Os 0.750 0.750 0.750
Au 0.250 0.250 0.250
Pm 0.000 0.000 0.000
! ΔH_f (0 K) = 0.86 eV/atom
! Crystal system = cubic